Li2CuSi | PBE | optimized geometry

Lattice parameters (Å, degrees): 4.7718 4.7718 4.7718 135.47 135.47 64.80
Fractional positions:
1 Cu 0.7500 0.2500 0.5000
2 Li 0.0000 0.0000 0.0000
3 Si 0.2500 0.7500 0.5000
4 Li 0.5000 0.5000 0.0000

Output
- ΔE_f (raw): -0.150 eV/atom
- SG: No. 139
- Total magnetic moment: 0.000 μB/cell
- E: -3.487 eV per atom